# 1
# K2LiZnN, relaxed, DFT PBE
data_K2LiZnN
_cell_length_a 5.835
_cell_length_b 5.835
_cell_length_c 3.704
_cell_angle_alpha 90.00
_cell_angle_beta 90.00
_cell_angle_gamma 90.00
_symmetry_space_group_name_H-M 'P 4/m m m'
_symmetry_Int_Tables_number 123
_symmetry_space_group_name_Hall '-P 4 2'
loop_
_atom_site_label
_atom_site_type_symbol
_atom_site_fract_x
_atom_site_fract_y
_atom_site_fract_z
K1 K 0.000 0.500 0.000
Li1 Li 0.000 0.000 0.000
Zn1 Zn 0.500 0.500 0.500
N1 N 0.000 0.000 0.500
# density	2.167	g/cm3
# raw formation energy	0.391	eV per atom
# DOS(E_F)	0.27	states/eV per atom
# crystal system	tetragonal
# raw total energy	-2.35	eV per atom

---

# 2
# KNa8Li2, relaxed, DFT PBE
data_KNa8Li2
_cell_length_a 7.272
_cell_length_b 7.272
_cell_length_c 20.188
_cell_angle_alpha 90.00
_cell_angle_beta 90.00
_cell_angle_gamma 90.00
_symmetry_space_group_name_H-M 'I 4/m m m'
_symmetry_Int_Tables_number 139
_symmetry_space_group_name_Hall '-I 4 2'
loop_
_atom_site_label
_atom_site_type_symbol
_atom_site_fract_x
_atom_site_fract_y
_atom_site_fract_z
K1 K 0.000 0.000 0.000
Na1 Na 0.248 0.248 0.345
Li1 Li 0.000 0.500 0.250
# density	0.737	g/cm3
# DOS(E_F)	0.68	states/eV per atom
# crystal system	tetragonal
# raw total energy	-1.22	eV per atom

---

# 3
# KNaLi2, relaxed, DFT PBE
data_KNaLi2
_cell_length_a 5.4864
_cell_length_b 5.4864
_cell_length_c 18.2914
_cell_angle_alpha 90.00
_cell_angle_beta 90.00
_cell_angle_gamma 120.00
_symmetry_space_group_name_H-M 'R -3 m'
_symmetry_Int_Tables_number 166
_symmetry_space_group_name_Hall '-R 3 2"'
loop_
_atom_site_label
_atom_site_type_symbol
_atom_site_fract_x
_atom_site_fract_y
_atom_site_fract_z
K1 K 0.0000 0.0000 0.0000
Na1 Na 0.0000 0.0000 0.5000
Li1 Li 0.0000 0.0000 0.2008
# density	0.794	g/cm3
# DOS(E_F)	0.52	states/eV per atom
# crystal system	trigonal
# raw total energy	-1.42	eV per atom

---

# 4
# K2Na2Li, relaxed, DFT PBE
data_K2Na2Li
_cell_length_a 8.696
_cell_length_b 8.696
_cell_length_c 6.298
_cell_angle_alpha 90.00
_cell_angle_beta 90.00
_cell_angle_gamma 90.00
_symmetry_space_group_name_H-M 'P 4/m b m'
_symmetry_Int_Tables_number 127
_symmetry_space_group_name_Hall '-P 4 2ab'
loop_
_atom_site_label
_atom_site_type_symbol
_atom_site_fract_x
_atom_site_fract_y
_atom_site_fract_z
K1 K 0.179 0.321 0.000
Na1 Na 0.142 0.642 0.500
Li1 Li 0.000 0.000 0.500
# density	0.914	g/cm3
# DOS(E_F)	0.60	states/eV per atom
# crystal system	tetragonal
# raw total energy	-1.26	eV per atom

---

What is the density in the first record?
2.167 g/cm3

---

Which formula does entry 4 have?
K2Na2Li

---

The highest density belongs to which entry?
K2LiZnN